{"formula": "Sc3MnS", "functional": "PBE", "state": "optimized geometry", "sg": "No. 221", "lattice_angstrom": [[4.7350, 0.0000, 0.0000], [0.0000, 4.7350, 0.0000], [0.0000, 0.0000, 4.7350]], "species": ["Sc", "Sc", "Sc", "Mn", "S"], "fractional_positions": [[0.5000, 0.0000, 0.0000], [0.0000, 0.0000, 0.5000], [0.0000, 0.5000, 0.0000], [0.5000, 0.5000, 0.5000], [0.0000, 0.0000, 0.0000]]}

=====

{"formula": "ScMnS3", "functional": "PBE", "state": "optimized geometry", "sg": "No. 148", "lattice_angstrom": [[-6.2768, 0.0352, 0.1446], [-3.0817, -4.0733, 3.6509], [-3.0033, 2.3946, 5.5369]], "species": ["S", "S", "S", "S", "S", "S", "Mn", "Mn", "Sc", "Sc"], "fractional_positions": [[0.5648, 0.9437, 0.2604], [0.4352, 0.0563, 0.7396], [0.2310, 0.5650, 0.2603], [0.9436, 0.2312, 0.2605], [0.0564, 0.7688, 0.7395], [0.7690, 0.4350, 0.7397], [0.1577, 0.1576, 0.5270], [0.8423, 0.8424, 0.4730], [0.6534, 0.6534, 0.0398], [0.3466, 0.3466, 0.9602]]}

=====

{"formula": "ScMnSe2S", "functional": "PBE", "state": "optimized geometry", "sg": "No. 123", "lattice_angstrom": [[5.1036, 0.0000, 0.0000], [0.0000, 4.2275, 0.0000], [0.0000, 0.0000, 5.1036]], "species": ["Mn", "S", "Se", "Se", "Sc"], "fractional_positions": [[0.0000, 0.5000, 0.0000], [0.0000, 0.0000, 0.0000], [0.0000, 0.0000, 0.5000], [0.5000, 0.0000, 0.0000], [0.5000, 0.5000, 0.5000]]}

=====

{"formula": "Sm2ScMnS5", "functional": "PBE", "state": "optimized geometry", "sg": "No. 36", "lattice_angstrom": [[3.8401, 0.0000, 0.0000], [-1.9200, 8.2313, 0.0000], [0.0000, 0.0000, 11.6093]], "species": ["S", "S", "S", "S", "S", "S", "S", "S", "S", "S", "Sm", "Sm", "Sm", "Sm", "Sc", "Sc", "Mn", "Mn"], "fractional_positions": [[0.6433, 0.2866, 0.5015], [0.9513, 0.9026, 0.5643], [0.2867, 0.5734, 0.6666], [0.6894, 0.3789, 0.8571], [0.3106, 0.6211, 0.3571], [0.0487, 0.0974, 0.0643], [0.4957, 0.9914, 0.7737], [0.5043, 0.0086, 0.2737], [0.3567, 0.7134, 0.0015], [0.7133, 0.4266, 0.1666], [0.8699, 0.7398, 0.8094], [0.1301, 0.2602, 0.3094], [0.1127, 0.2253, 0.6882], [0.8873, 0.7747, 0.1882], [0.1981, 0.3962, 0.0125], [0.8019, 0.6038, 0.5125], [0.5564, 0.1129, 0.9507], [0.4436, 0.8871, 0.4507]]}

=====

{"formula": "ScTaMn2S", "functional": "PBE", "state": "optimized geometry", "sg": "No. 123", "lattice_angstrom": [[-3.6775, 1.4347, 2.2184], [2.0550, -2.0292, 4.7189], [2.0374, 3.9607, 0.8159]], "species": ["Mn", "Mn", "S", "Ta", "Sc"], "fractional_positions": [[0.0000, 0.0000, 0.5000], [0.5000, 0.0000, 0.0000], [0.5000, 0.5000, 0.5000], [0.0000, 0.0000, 0.0000], [0.0000, 0.5000, 0.0000]]}

=====

{"formula": "Sc2MnTl3S6", "functional": "PBE", "state": "optimized geometry", "sg": "No. 12", "lattice_angstrom": [[-0.0684, 6.4417, 0.5226], [-3.5957, -2.7905, -4.5888], [-4.4479, -1.7186, 6.1735]], "species": ["S", "S", "S", "S", "S", "S", "Tl", "Tl", "Tl", "Sc", "Sc", "Mn"], "fractional_positions": [[0.3746, 0.0594, 0.1790], [0.6254, 0.9406, 0.8210], [0.0594, 0.3746, 0.1790], [0.7344, 0.7344, 0.1986], [0.9406, 0.6254, 0.8210], [0.2656, 0.2656, 0.8014], [0.1718, 0.8282, 0.5000], [0.5000, 0.5000, 0.5000], [0.8282, 0.1718, 0.5000], [0.6649, 0.3351, 0.0000], [0.3351, 0.6649, 0.0000], [0.0000, 0.0000, 0.0000]]}

=====

{"formula": "ScMnTlS3", "functional": "PBE", "state": "optimized geometry", "sg": "No. 63", "lattice_angstrom": [[-1.2170, -2.2936, -2.8314], [4.0685, -4.3412, 4.3742], [-8.3084, -2.3060, 5.4391]], "species": ["Sc", "Sc", "Tl", "Tl", "S", "S", "S", "S", "S", "S", "Mn", "Mn"], "fractional_positions": [[0.0000, 0.0000, 0.0000], [0.0000, 0.0000, 0.5000], [0.7396, 0.4792, 0.7500], [0.2604, 0.5208, 0.2500], [0.9455, 0.8910, 0.2500], [0.3794, 0.7587, 0.9529], [0.0545, 0.1090, 0.7500], [0.6206, 0.2413, 0.4529], [0.6206, 0.2413, 0.0471], [0.3794, 0.7587, 0.5471], [0.4526, 0.9052, 0.7500], [0.5474, 0.0948, 0.2500]]}

=====

{"formula": "Sc2UMnS6", "functional": "PBE", "state": "optimized geometry", "sg": "No. 146", "lattice_angstrom": [[-3.1755, 0.6094, -5.6881], [-5.6788, -3.1147, -0.9268], [-5.8798, 3.8675, -0.0664]], "species": ["U", "S", "S", "S", "S", "S", "S", "Sc", "Sc", "Mn"], "fractional_positions": [[0.3193, 0.3193, 0.0421], [0.7337, 0.1048, 0.7445], [0.2215, 0.9022, 0.2555], [0.1048, 0.4170, 0.7445], [0.9022, 0.6208, 0.2555], [0.6207, 0.2215, 0.2555], [0.4170, 0.7337, 0.7445], [0.5117, 0.5117, 0.4648], [0.0119, 0.0119, 0.9644], [0.8187, 0.8187, 0.5438]]}

=====

{"formula": "Y2ScMnS6", "functional": "PBE", "state": "optimized geometry", "sg": "No. 14", "lattice_angstrom": [[-5.6763, -1.8376, 2.0176], [2.3963, -0.1130, 6.6385], [-2.4035, 8.7932, 1.0172]], "species": ["Sc", "Sc", "S", "S", "S", "S", "S", "S", "S", "S", "S", "S", "S", "S", "Y", "Y", "Y", "Y", "Mn", "Mn"], "fractional_positions": [[0.0000, 0.5000, 0.5000], [0.5000, 0.0000, 0.0000], [0.8157, 0.8263, 0.5607], [0.8625, 0.5376, 0.2383], [0.1728, 0.1795, 0.0671], [0.6375, 0.0376, 0.2617], [0.3625, 0.9624, 0.7383], [0.8272, 0.8205, 0.9329], [0.6843, 0.3263, 0.9393], [0.3272, 0.6795, 0.4329], [0.6728, 0.3205, 0.5671], [0.1843, 0.1737, 0.4393], [0.3157, 0.6737, 0.0607], [0.1375, 0.4624, 0.7617], [0.9577, 0.1089, 0.7524], [0.4577, 0.3911, 0.2524], [0.5423, 0.6089, 0.7476], [0.0423, 0.8911, 0.2476], [0.5000, 0.0000, 0.5000], [0.0000, 0.5000, 0.0000]]}

=====

{"formula": "ScMnZnS4", "functional": "PBE", "state": "optimized geometry", "sg": "No. 74", "lattice_angstrom": [[-3.2143, 3.1126, 5.8699], [-7.1140, -0.8869, 1.2150], [-2.1359, -4.0742, 5.6312]], "species": ["S", "S", "S", "S", "S", "S", "S", "S", "Zn", "Zn", "Sc", "Sc", "Mn", "Mn"], "fractional_positions": [[0.7711, 0.2379, 0.7379], [0.2289, 0.7621, 0.2621], [0.7477, 0.7738, 0.7308], [0.2531, 0.2379, 0.7379], [0.7477, 0.2308, 0.2738], [0.7469, 0.7621, 0.2621], [0.2523, 0.7692, 0.7262], [0.2523, 0.2262, 0.2692], [0.3763, 0.3737, 0.8737], [0.6237, 0.6263, 0.1263], [0.0000, 0.5000, 0.5000], [0.0000, 0.0000, 0.0000], [0.5000, 0.0000, 0.5000], [0.0000, 0.0000, 0.5000]]}

=====

{"formula": "Zr2ScMnS6", "functional": "PBE", "state": "optimized geometry", "sg": "No. 146", "lattice_angstrom": [[6.3948, 0.0008, -0.0010], [3.1981, 5.5383, -0.0011], [3.1963, 1.8459, 5.9276]], "species": ["S", "S", "S", "S", "S", "S", "Mn", "Zr", "Zr", "Sc"], "fractional_positions": [[0.5985, 0.2357, 0.2489], [0.4177, 0.7293, 0.7541], [0.0991, 0.4177, 0.7538], [0.7294, 0.0987, 0.7541], [0.2356, 0.9167, 0.2491], [0.9167, 0.5988, 0.2488], [0.3231, 0.3234, 0.0296], [0.0093, 0.0093, 0.9726], [0.5078, 0.5075, 0.4776], [0.8243, 0.8244, 0.5267]]}

=====

{"formula": "MnSeS3", "functional": "PBE", "state": "optimized geometry", "sg": "No. 221", "lattice_angstrom": [[-1.4335, 2.5656, -3.7201], [3.5561, -1.7678, -2.5895], [-2.7885, -3.5734, -1.3898]], "species": ["Se", "S", "S", "S", "Mn"], "fractional_positions": [[0.0000, 0.0000, 0.0000], [0.5000, 0.0000, 0.0000], [0.0000, 0.0000, 0.5000], [0.0000, 0.5000, 0.0000], [0.5000, 0.5000, 0.5000]]}

=====

no.,uncorrected energy (eV for the cell shown),formation energy from raw total energies (eV/atom),ρ (Mg/m³)
1,-32.75,-0.091,3.471
2,-67.26,-1.149,3.360
3,-26.39,0.042,4.371
4,-121.52,-1.687,5.077
5,-35.07,1.115,5.385
6,-66.20,-1.042,5.782
7,-73.46,-1.080,4.763
8,-72.00,-1.412,4.339
9,-138.95,-1.628,3.829
10,-81.56,-1.070,3.535
11,-71.14,-1.378,3.755
12,-21.67,0.672,3.586